Record 1
GGA-PBE CsPmNpO6, relaxed; E_form (uncorrected) = -2.464 eV per atom
1.0
-3.8395 4.1109 5.2110
3.8395 -4.1109 5.2110
3.8395 4.1109 -5.2110
Cs Pm Np O
2 2 2 12
Direct
0.3945 0.1445 0.2500 Cs
0.6055 0.8555 0.7500 Cs
0.0000 0.0000 0.5000 Pm
0.0000 0.5000 0.0000 Pm
0.0000 0.5000 0.5000 Np
0.5000 0.5000 0.0000 Np
0.1081 0.8581 0.2500 O
0.1474 0.4528 0.3408 O
0.1474 0.8066 0.6946 O
0.1776 0.4276 0.7500 O
0.3880 0.1934 0.8408 O
0.3880 0.5472 0.1946 O
0.6120 0.4528 0.8054 O
0.6120 0.8066 0.1592 O
0.8224 0.5724 0.2500 O
0.8526 0.1934 0.3054 O
0.8526 0.5472 0.6592 O
0.8919 0.1419 0.7500 O

=====

Record 2
GGA-PBE Cs3PmNp2O9, relaxed; E_form (uncorrected) = -2.607 eV per atom
1.0
6.2754 0.0000 0.0000
-3.1377 5.4347 0.0000
0.0000 0.0000 7.6860
Cs Pm Np O
3 1 2 9
Direct
0.0000 0.0000 0.0000 Cs
0.3333 0.6667 0.6634 Cs
0.6667 0.3333 0.3366 Cs
0.0000 0.0000 0.5000 Pm
0.3333 0.6667 0.1618 Np
0.6667 0.3333 0.8382 Np
0.0000 0.5000 0.0000 O
0.1800 0.3600 0.3154 O
0.1800 0.8200 0.3154 O
0.3600 0.1800 0.6846 O
0.5000 0.0000 0.0000 O
0.5000 0.5000 0.0000 O
0.6400 0.8200 0.3154 O
0.8200 0.1800 0.6846 O
0.8200 0.6400 0.6846 O

=====

Record 3
GGA-PBE Cs4Pr3NpO8, relaxed; E_form (uncorrected) = -2.390 eV per atom
1.0
3.7112 2.1427 6.9724
-3.7112 2.1427 6.9724
0.0000 -4.2853 6.9724
Cs Pr Np O
4 3 1 8
Direct
0.0000 0.0000 0.0000 Cs
0.0000 0.5000 0.5000 Cs
0.5000 0.0000 0.5000 Cs
0.5000 0.5000 0.0000 Cs
0.0000 0.0000 0.5000 Pr
0.0000 0.5000 0.0000 Pr
0.5000 0.0000 0.0000 Pr
0.5000 0.5000 0.5000 Np
0.2215 0.2215 0.2215 O
0.2383 0.7131 0.7131 O
0.2869 0.2869 0.7617 O
0.2869 0.7617 0.2869 O
0.7131 0.2383 0.7131 O
0.7131 0.7131 0.2383 O
0.7617 0.2869 0.2869 O
0.7785 0.7785 0.7785 O

=====

Record 4
GGA-PBE CsPr2NpO8, relaxed; E_form (uncorrected) = -2.529 eV per atom
1.0
4.1700 0.0000 0.0000
0.0000 8.4434 0.0000
-0.3233 0.0000 5.5193
Cs Pr Np O
1 2 1 8
Direct
0.0000 0.0000 0.0000 Cs
0.5000 0.2819 0.5000 Pr
0.5000 0.7181 0.5000 Pr
0.0000 0.5000 0.0000 Np
0.0423 0.3162 0.7632 O
0.0423 0.6838 0.7632 O
0.4021 0.0000 0.3833 O
0.4438 0.5000 0.2234 O
0.5562 0.5000 0.7766 O
0.5979 0.0000 0.6167 O
0.9577 0.3162 0.2368 O
0.9577 0.6838 0.2368 O

=====

Record 5
GGA-PBE Cs2PrNp3O12, relaxed; E_form (uncorrected) = -2.738 eV per atom
1.0
4.0326 2.3282 6.3820
-4.0326 2.3282 6.3820
0.0000 -4.6564 6.3820
Cs Pr Np O
2 1 3 12
Direct
0.1194 0.1194 0.1194 Cs
0.8806 0.8806 0.8806 Cs
0.5000 0.5000 0.5000 Pr
0.0000 0.5000 0.5000 Np
0.5000 0.0000 0.5000 Np
0.5000 0.5000 0.0000 Np
0.1427 0.5792 0.5792 O
0.1960 0.1960 0.5738 O
0.1960 0.5738 0.1960 O
0.4208 0.4208 0.8573 O
0.4208 0.8573 0.4208 O
0.4262 0.8040 0.8040 O
0.5738 0.1960 0.1960 O
0.5792 0.1427 0.5792 O
0.5792 0.5792 0.1427 O
0.8040 0.4262 0.8040 O
0.8040 0.8040 0.4262 O
0.8573 0.4208 0.4208 O

=====

Record 6
GGA-PBE Cs3Pr3NpO8, relaxed; E_form (uncorrected) = -2.606 eV per atom
1.0
3.6755 2.1220 7.0363
-3.6755 2.1220 7.0363
0.0000 -4.2441 7.0363
Cs Pr Np O
3 3 1 8
Direct
0.0000 0.5000 0.5000 Cs
0.5000 0.0000 0.5000 Cs
0.5000 0.5000 0.0000 Cs
0.0000 0.0000 0.5000 Pr
0.0000 0.5000 0.0000 Pr
0.5000 0.0000 0.0000 Pr
0.5000 0.5000 0.5000 Np
0.2218 0.2218 0.2218 O
0.2423 0.7080 0.7080 O
0.2920 0.2920 0.7577 O
0.2920 0.7577 0.2920 O
0.7080 0.2423 0.7080 O
0.7080 0.7080 0.2423 O
0.7577 0.2920 0.2920 O
0.7782 0.7782 0.7782 O

=====

Record 7
GGA-PBE Cs3PrNp2O9, relaxed; E_form (uncorrected) = -2.600 eV per atom
1.0
6.3050 0.0000 0.0000
-3.1525 5.4603 0.0000
0.0000 0.0000 7.7247
Cs Pr Np O
3 1 2 9
Direct
0.0000 0.0000 0.0000 Cs
0.3333 0.6667 0.6637 Cs
0.6667 0.3333 0.3363 Cs
0.0000 0.0000 0.5000 Pr
0.3333 0.6667 0.1597 Np
0.6667 0.3333 0.8403 Np
0.0000 0.5000 0.0000 O
0.1813 0.3626 0.3131 O
0.1813 0.8187 0.3131 O
0.3626 0.1813 0.6869 O
0.5000 0.0000 0.0000 O
0.5000 0.5000 0.0000 O
0.6374 0.8187 0.3131 O
0.8187 0.1813 0.6869 O
0.8187 0.6374 0.6869 O

=====

Record 8
GGA-PBE Cs4PrNp3O12, relaxed; E_form (uncorrected) = -2.610 eV per atom
1.0
-4.4400 4.4400 4.4400
4.4400 -4.4400 4.4400
4.4400 4.4400 -4.4400
Cs Pr Np O
4 1 3 12
Direct
0.0000 0.0000 0.5000 Cs
0.0000 0.5000 0.0000 Cs
0.5000 0.0000 0.0000 Cs
0.5000 0.5000 0.5000 Cs
0.0000 0.0000 0.0000 Pr
0.0000 0.5000 0.5000 Np
0.5000 0.0000 0.5000 Np
0.5000 0.5000 0.0000 Np
0.0000 0.2742 0.2742 O
0.0000 0.7258 0.7258 O
0.2500 0.5000 0.7500 O
0.2500 0.7500 0.5000 O
0.2742 0.0000 0.2742 O
0.2742 0.2742 0.0000 O
0.5000 0.2500 0.7500 O
0.5000 0.7500 0.2500 O
0.7258 0.0000 0.7258 O
0.7258 0.7258 0.0000 O
0.7500 0.2500 0.5000 O
0.7500 0.5000 0.2500 O